Entry 1:
A plane-wave DFT calculation with PBE was carried out for a relaxed structure of GeIr2Br.

Cell: 4.3050 4.3050 15.8070 Å, 90.00 90.00 90.00°
Sites, in units of the cell vectors:
Ge: 0.0000 0.0000 0.0000
Ge: 0.0000 0.5000 0.2500
Ge: 0.5000 0.0000 0.7500
Ge: 0.5000 0.5000 0.5000
Ir: 0.2391 0.2500 0.1250
Ir: 0.2500 0.7391 0.3750
Ir: 0.2500 0.7609 0.8750
Ir: 0.2609 0.2500 0.6250
Ir: 0.7391 0.7500 0.6250
Ir: 0.7500 0.2391 0.8750
Ir: 0.7500 0.2609 0.3750
Ir: 0.7609 0.7500 0.1250
Br: 0.0000 0.0000 0.5000
Br: 0.0000 0.5000 0.7500
Br: 0.5000 0.0000 0.2500
Br: 0.5000 0.5000 0.0000

Calculated values
- Formation energy (no corrections): 0.586 eV per atom
- Density: 12.2 Mg/m³

***

Entry 2:
A plane-wave DFT calculation with PBE was carried out for a relaxed structure of La6Ge2IrBr3.

Cell: 9.8888 9.8888 9.1213 Å, 104.25 104.25 25.35°
Sites, in units of the cell vectors:
La: 0.0035 0.0035 0.2214
La: 0.3260 0.3260 0.4308
La: 0.3505 0.3505 0.9006
La: 0.6495 0.6495 0.0994
La: 0.6740 0.6740 0.5692
La: 0.9965 0.9965 0.7786
Ge: 0.1639 0.1639 0.3382
Ge: 0.8361 0.8361 0.6618
Ir: 0.5000 0.5000 0.0000
Br: 0.1744 0.1744 0.8381
Br: 0.5000 0.5000 0.5000
Br: 0.8256 0.8256 0.1619

Calculated values
- Formation energy (no corrections): -1.201 eV per atom
- Density: 6.3 Mg/m³

***

Entry 3:
A plane-wave DFT calculation with PBE was carried out for a relaxed structure of La2GeIrBr.

Cell: 5.5795 5.5795 4.6695 Å, 90.00 90.00 90.00°
Sites, in units of the cell vectors:
La: 0.0000 0.5000 0.0000
La: 0.5000 0.0000 0.0000
Ge: 0.0000 0.0000 0.5000
Ir: 0.5000 0.5000 0.5000
Br: 0.5000 0.5000 0.0000

Calculated values
- Formation energy (no corrections): 0.000 eV per atom
- Density: 7.1 Mg/m³

***

Entry 4:
A plane-wave DFT calculation with PBE was carried out for a relaxed structure of La4GeIrBr2.

Cell: 7.6702 4.2806 7.9363 Å, 90.00 106.89 90.00°
Sites, in units of the cell vectors:
La: 0.2229 0.0000 0.2035
La: 0.2471 0.5000 0.7956
La: 0.7529 0.5000 0.2044
La: 0.7771 0.0000 0.7965
Ge: 0.5000 0.0000 0.0000
Ir: 0.0000 0.5000 0.0000
Br: 0.0000 0.0000 0.5000
Br: 0.5000 0.5000 0.5000

Calculated values
- Formation energy (no corrections): -1.186 eV per atom
- Density: 6.5 Mg/m³

***

Entry 5:
A plane-wave DFT calculation with PBE was carried out for a relaxed structure of LiGe2IrBr.

Cell: 4.5203 4.5203 4.5869 Å, 90.00 90.00 90.00°
Sites, in units of the cell vectors:
Li: 0.0000 0.0000 0.0000
Ge: 0.0000 0.5000 0.0000
Ge: 0.5000 0.0000 0.0000
Ir: 0.5000 0.5000 0.5000
Br: 0.0000 0.0000 0.5000

Calculated values
- Formation energy (no corrections): 0.934 eV per atom
- Density: 7.5 Mg/m³

***

Entry 6:
A plane-wave DFT calculation with PBE was carried out for a relaxed structure of Nd6Ge2IrBr3.

Cell: 9.8119 9.8119 9.0280 Å, 104.66 104.66 24.88°
Sites, in units of the cell vectors:
Nd: 0.0059 0.0059 0.2166
Nd: 0.3250 0.3250 0.4339
Nd: 0.3480 0.3480 0.8967
Nd: 0.6520 0.6520 0.1033
Nd: 0.6750 0.6750 0.5661
Nd: 0.9941 0.9941 0.7834
Ge: 0.1657 0.1657 0.3387
Ge: 0.8343 0.8343 0.6613
Ir: 0.5000 0.5000 0.0000
Br: 0.1739 0.1739 0.8355
Br: 0.5000 0.5000 0.5000
Br: 0.8261 0.8261 0.1645

Calculated values
- Formation energy (no corrections): -1.103 eV per atom
- Density: 6.8 Mg/m³